No. 1
First-principles (PBE) data for crystalline TbSi4Pt2 at its relaxed geometry, as listed in Alexandria.

Symmetry: Pnma
Total magnetization (Bohr magnetons per cell): 0.00
Electronic total energy (eV/cell): -172.05

Cell: 16.6000 4.2485 6.5767 Å, 90.00 90.00 90.00°
Element x y z (fractional)
Tb (0.1441, 0.2500, 0.0253)
Tb (0.3559, 0.7500, 0.5253)
Tb (0.6441, 0.2500, 0.4747)
Tb (0.8559, 0.7500, 0.9747)
Si (0.0407, 0.7500, 0.8580)
Si (0.0622, 0.2500, 0.4600)
Si (0.1769, 0.7500, 0.3371)
Si (0.1874, 0.7500, 0.7365)
Si (0.3126, 0.2500, 0.2365)
Si (0.3231, 0.2500, 0.8371)
Si (0.4378, 0.7500, 0.9600)
Si (0.4593, 0.2500, 0.3580)
Si (0.5407, 0.7500, 0.6420)
Si (0.5622, 0.2500, 0.0400)
Si (0.6769, 0.7500, 0.1629)
Si (0.6874, 0.7500, 0.7635)
Si (0.8126, 0.2500, 0.2635)
Si (0.8231, 0.2500, 0.6629)
Si (0.9378, 0.7500, 0.5400)
Si (0.9593, 0.2500, 0.1420)
Pt (0.0255, 0.7500, 0.2401)
Pt (0.2099, 0.2500, 0.5431)
Pt (0.2901, 0.7500, 0.0431)
Pt (0.4745, 0.2500, 0.7401)
Pt (0.5255, 0.7500, 0.2599)
Pt (0.7099, 0.2500, 0.9569)
Pt (0.7901, 0.7500, 0.4569)
Pt (0.9745, 0.2500, 0.7599)

No. 2
First-principles (PBE) data for crystalline Pa2Tl2PdSe6 at its relaxed geometry, as listed in Alexandria.

Symmetry: C2/m
Total magnetization (Bohr magnetons per cell): 0.25
Electronic total energy (eV/cell): -60.15

Cell: 7.1372 7.1372 8.2191 Å, 97.23 97.23 123.04°
Element x y z (fractional)
Pa (0.1618, 0.8382, 0.0000)
Pa (0.8382, 0.1618, 0.0000)
Tl (0.3427, 0.6573, 0.5000)
Tl (0.6573, 0.3427, 0.5000)
Pd (0.5000, 0.5000, 0.0000)
Se (0.0759, 0.4404, 0.7914)
Se (0.2393, 0.2393, 0.1887)
Se (0.4404, 0.0759, 0.7914)
Se (0.5596, 0.9241, 0.2086)
Se (0.7607, 0.7607, 0.8113)
Se (0.9241, 0.5596, 0.2086)

No. 3
First-principles (PBE) data for crystalline NaTl2In6 at its relaxed geometry, as listed in Alexandria.

Symmetry: C2/c
Total magnetization (Bohr magnetons per cell): 0.00
Excess energy over the best structure of this formula in the dataset (eV per atom): 0.000
Electronic total energy (eV/cell): -45.06
Formation energy (meV per atom): -5

Cell: 9.6016 9.6016 6.9089 Å, 96.79 96.79 124.48°
Element x y z (fractional)
Na (0.0001, 0.9999, 0.2500)
Na (0.9999, 0.0001, 0.7500)
Tl (0.1650, 0.8336, 0.9996)
Tl (0.1664, 0.8350, 0.5004)
Tl (0.8336, 0.1650, 0.4996)
Tl (0.8350, 0.1664, 0.0004)
In (0.1722, 0.4996, 0.8236)
In (0.1730, 0.5005, 0.3248)
In (0.3401, 0.3403, 0.0813)
In (0.3403, 0.3401, 0.5813)
In (0.4995, 0.8270, 0.1752)
In (0.4996, 0.1722, 0.3236)
In (0.5004, 0.8278, 0.6764)
In (0.5005, 0.1730, 0.8248)
In (0.6597, 0.6599, 0.4187)
In (0.6599, 0.6597, 0.9187)
In (0.8270, 0.4995, 0.6752)
In (0.8278, 0.5004, 0.1764)

No. 4
First-principles (PBE) data for crystalline Ba2BeBW at its relaxed geometry, as listed in Alexandria.

Symmetry: P4/mmm
Total magnetization (Bohr magnetons per cell): 0.00
Electronic total energy (eV/cell): -20.95
Formation energy (meV per atom): 1251

Cell: 6.0125 6.0125 3.5356 Å, 90.00 90.00 90.00°
Element x y z (fractional)
Ba (0.0000, 0.5000, 0.0000)
Ba (0.5000, 0.0000, 0.0000)
Be (0.0000, 0.0000, 0.5000)
B (0.0000, 0.0000, 0.0000)
W (0.5000, 0.5000, 0.5000)